(1)
Below is an optimized crystal structure of Ac6Bi3Te2As, with properties calculated at the GGA-PBE level.

a b c (Å): 10.6741 10.6741 9.5573
angles (deg): 102.49 102.49 25.87
Fractional positions:
Ac 0.0021 0.0021 0.2672
Ac 0.3354 0.3354 0.9142
Ac 0.3416 0.3416 0.4230
Ac 0.6584 0.6584 0.5770
Ac 0.6646 0.6646 0.0858
Ac 0.9979 0.9979 0.7328
Bi 0.1707 0.1707 0.3353
Bi 0.5000 0.5000 0.0000
Bi 0.8293 0.8293 0.6647
Te 0.1664 0.1664 0.8342
Te 0.8336 0.8336 0.1658
As 0.5000 0.5000 0.5000

Properties
Symmetry: C2/m
Raw formation energy in meV per atom: -1267
Size of the total moment in μB/atom: 0.00
Theoretical density in g cm⁻³: 8.31
Calculated total energy in eV for the cell shown: -62.4

---

(2)
Below is an optimized crystal structure of Na2TcBr, with properties calculated at the GGA-PBE level.

a b c (Å): 5.3648 5.3648 5.3648
angles (deg): 60.00 60.00 60.00
Fractional positions:
Na 0.2500 0.2500 0.2500
Na 0.7500 0.7500 0.7500
Tc 0.0000 0.0000 0.0000
Br 0.5000 0.5000 0.5000

Properties
Symmetry: Fm-3m
Raw formation energy in meV per atom: 681
Size of the total moment in μB/atom: 1.00
Theoretical density in g cm⁻³: 3.41
Calculated total energy in eV for the cell shown: -12.0

---

(3)
Below is an optimized crystal structure of MgCdMo, with properties calculated at the GGA-PBE level.

a b c (Å): 4.5612 4.5612 4.5612
angles (deg): 60.00 60.00 60.00
Fractional positions:
Mg 0.0000 0.0000 0.0000
Cd 0.7500 0.7500 0.7500
Mo 0.5000 0.5000 0.5000

Properties
Energy of formation from the pure elements in meV per atom: 973
Symmetry: F-43m
Size of the total moment in μB/atom: 0.69
Theoretical density in g cm⁻³: 5.76
Calculated total energy in eV for the cell shown: -10.4

---

(4)
Below is an optimized crystal structure of ScNb2Ni9, with properties calculated at the GGA-PBE level.

a b c (Å): 3.6916 3.6916 11.1025
angles (deg): 90.00 90.00 90.00
Fractional positions:
Sc 0.0000 0.0000 0.0000
Nb 0.0000 0.0000 0.3316
Nb 0.0000 0.0000 0.6684
Ni 0.0000 0.5000 0.1716
Ni 0.0000 0.5000 0.5000
Ni 0.0000 0.5000 0.8284
Ni 0.5000 0.0000 0.1716
Ni 0.5000 0.0000 0.5000
Ni 0.5000 0.0000 0.8284
Ni 0.5000 0.5000 0.0000
Ni 0.5000 0.5000 0.3366
Ni 0.5000 0.5000 0.6634

Properties
Energy of formation from the pure elements in meV per atom: -285
Symmetry: P4/mmm
Size of the total moment in μB/atom: 0.00
Theoretical density in g cm⁻³: 8.33
Calculated total energy in eV for the cell shown: -81.9

---

(5)
Below is an optimized crystal structure of Co4Re, with properties calculated at the GGA-PBE level.

a b c (Å): 8.2334 8.2334 4.2698
angles (deg): 90.00 90.00 90.00
Fractional positions:
Co 0.0000 0.0000 0.2292
Co 0.0000 0.0000 0.7708
Co 0.1019 0.2117 0.5000
Co 0.1104 0.6104 0.5000
Co 0.2117 0.8981 0.5000
Co 0.2883 0.3981 0.5000
Co 0.3896 0.1104 0.5000
Co 0.3981 0.7117 0.5000
Co 0.5000 0.5000 0.2292
Co 0.5000 0.5000 0.7708
Co 0.6019 0.2883 0.5000
Co 0.6104 0.8896 0.5000
Co 0.7117 0.6019 0.5000
Co 0.7883 0.1019 0.5000
Co 0.8896 0.3896 0.5000
Co 0.8981 0.7883 0.5000
Re 0.1023 0.3977 0.0000
Re 0.3977 0.8977 0.0000
Re 0.6023 0.1023 0.0000
Re 0.8977 0.6023 0.0000

Properties
Energy of formation from the pure elements in meV per atom: 924
Symmetry: P4/mbm
Size of the total moment in μB/atom: 1.18
Theoretical density in g cm⁻³: 9.68
Calculated total energy in eV for the cell shown: -145.0

---

(6)
Below is an optimized crystal structure of K2InRh, with properties calculated at the GGA-PBE level.

a b c (Å): 5.2995 5.2995 5.2995
angles (deg): 60.00 60.00 60.00
Fractional positions:
K 0.0000 0.0000 0.0000
K 0.2500 0.2500 0.2500
In 0.5000 0.5000 0.5000
Rh 0.7500 0.7500 0.7500

Properties
Energy of formation from the pure elements in meV per atom: 335
Symmetry: F-43m
Size of the total moment in μB/atom: 0.00
Theoretical density in g cm⁻³: 4.67
Calculated total energy in eV for the cell shown: -10.9

---

(7)
Below is an optimized crystal structure of KBi3N, with properties calculated at the GGA-PBE level.

a b c (Å): 5.9513 5.9513 5.9513
angles (deg): 90.00 90.00 90.00
Fractional positions:
K 0.0000 0.0000 0.0000
Bi 0.0000 0.0000 0.5000
Bi 0.0000 0.5000 0.0000
Bi 0.5000 0.0000 0.0000
N 0.5000 0.5000 0.5000

Properties
Symmetry: Pm-3m
Raw formation energy in meV per atom: 2390
Size of the total moment in μB/atom: 0.15
Theoretical density in g cm⁻³: 5.36
Calculated total energy in eV for the cell shown: -9.1

---

(8)
Below is an optimized crystal structure of ZrRuAuC2, with properties calculated at the GGA-PBE level.

a b c (Å): 3.9275 3.9275 5.7093
angles (deg): 90.00 90.00 90.00
Fractional positions:
Zr 0.0000 0.0000 0.0000
Ru 0.5000 0.5000 0.0000
Au 0.0000 0.0000 0.5000
C 0.0000 0.5000 0.5000
C 0.5000 0.0000 0.5000

Properties
Energy of formation from the pure elements in meV per atom: 2272
Symmetry: P4/mmm
Size of the total moment in μB/atom: 0.14
Theoretical density in g cm⁻³: 7.79
Calculated total energy in eV for the cell shown: -28.2

---

(9)
Below is an optimized crystal structure of AcGdDy, with properties calculated at the GGA-PBE level.

a b c (Å): 3.7415 3.7415 8.9343
angles (deg): 90.00 90.00 120.00
Fractional positions:
Ac 0.0000 0.0000 0.0000
Gd 0.6667 0.3333 0.3449
Dy 0.3333 0.6667 0.6609

Properties
Energy of formation from the pure elements in meV per atom: 56
Symmetry: P3m1
Size of the total moment in μB/atom: 2.50
Theoretical density in g cm⁻³: 8.38
Calculated total energy in eV for the cell shown: -22.6

---

(10)
Below is an optimized crystal structure of SiSn2Sb2, with properties calculated at the GGA-PBE level.

a b c (Å): 7.9031 7.9031 4.3986
angles (deg): 90.00 90.00 90.00
Fractional positions:
Si 0.0000 0.0000 0.0000
Si 0.5000 0.5000 0.0000
Sn 0.1428 0.3572 0.5000
Sn 0.3572 0.8572 0.5000
Sn 0.6428 0.1428 0.5000
Sn 0.8572 0.6428 0.5000
Sb 0.1690 0.6690 0.0000
Sb 0.3310 0.1690 0.0000
Sb 0.6690 0.8310 0.0000
Sb 0.8310 0.3310 0.0000

Properties
Symmetry: P4/mbm
Raw formation energy in meV per atom: 350
Size of the total moment in μB/atom: 0.00
Theoretical density in g cm⁻³: 6.15
Calculated total energy in eV for the cell shown: -39.8

---

(11)
Below is an optimized crystal structure of NaZnSnPd, with properties calculated at the GGA-PBE level.

a b c (Å): 4.7128 4.7128 4.7128
angles (deg): 60.00 60.00 60.00
Fractional positions:
Na 0.0000 0.0000 0.0000
Zn 0.2500 0.2500 0.2500
Sn 0.7500 0.7500 0.7500
Pd 0.5000 0.5000 0.5000

Properties
Energy of formation from the pure elements in meV per atom: -218
Symmetry: F-43m
Size of the total moment in μB/atom: 0.00
Theoretical density in g cm⁻³: 7.03
Calculated total energy in eV for the cell shown: -12.7

---

(12)
Below is an optimized crystal structure of MnReAu, with properties calculated at the GGA-PBE level.

a b c (Å): 2.7461 2.7461 6.7917
angles (deg): 90.00 90.00 120.00
Fractional positions:
Mn 0.0000 0.0000 0.0000
Re 0.6667 0.3333 0.2852
Au 0.3333 0.6667 0.6592

Properties
Energy of formation from the pure elements in meV per atom: 301
Symmetry: P3m1
Size of the total moment in μB/atom: 0.00
Theoretical density in g cm⁻³: 16.40
Calculated total energy in eV for the cell shown: -24.0